(1)
# Ac6Tl2FeI3, optimized geometry, DFT PBE-GGA
data_Ac6Tl2FeI3
_cell_length_a 8.578
_cell_length_b 13.191
_cell_length_c 8.716
_cell_angle_alpha 90.00
_cell_angle_beta 107.16
_cell_angle_gamma 90.00
_space_group_name_H-M_alt 'C 1 2/m 1'
_space_group_IT_number 12
_space_group_name_Hall '-C 2y'
loop_
_atom_site_label
_atom_site_fract_x
_atom_site_fract_y
_atom_site_fract_z
Ac1 0.204 0.000 0.275
Ac2 0.208 0.151 0.689
Tl1 0.000 0.357 0.500
Fe1 0.000 0.000 0.500
I1 0.000 0.186 0.000
I2 0.000 0.500 0.000
# **Crystal system**: monoclinic
# **Uncorrected formation energy**: -0.57 eV per atom


(2)
# Ac3InFe, optimized geometry, DFT PBE-GGA
data_Ac3InFe
_cell_length_a 5.502
_cell_length_b 5.502
_cell_length_c 5.502
_cell_angle_alpha 90.00
_cell_angle_beta 90.00
_cell_angle_gamma 90.00
_space_group_name_H-M_alt 'P m -3 m'
_space_group_IT_number 221
_space_group_name_Hall '-P 4 2 3'
loop_
_atom_site_label
_atom_site_fract_x
_atom_site_fract_y
_atom_site_fract_z
Ac1 0.000 0.000 0.500
In1 0.500 0.500 0.500
Fe1 0.000 0.000 0.000
# **ΔE_f**: -0.070 eV/atom
# **Crystal system**: cubic


(3)
# Ac4In2Fe, optimized geometry, DFT PBE-GGA
data_Ac4In2Fe
_cell_length_a 5.385
_cell_length_b 5.385
_cell_length_c 17.277
_cell_angle_alpha 90.00
_cell_angle_beta 90.00
_cell_angle_gamma 90.00
_space_group_name_H-M_alt 'I 4/m m m'
_space_group_IT_number 139
_space_group_name_Hall '-I 4 2'
loop_
_atom_site_label
_atom_site_fract_x
_atom_site_fract_y
_atom_site_fract_z
Ac1 0.000 0.000 0.172
Ac2 0.000 0.500 0.000
In1 0.000 0.000 0.364
Fe1 0.000 0.000 0.000
# **ΔE_f**: -0.097 eV/atom
# **Crystal system**: tetragonal


(4)
# AcIn3Fe, optimized geometry, DFT PBE-GGA
data_AcIn3Fe
_cell_length_a 5.063
_cell_length_b 5.063
_cell_length_c 5.063
_cell_angle_alpha 90.00
_cell_angle_beta 90.00
_cell_angle_gamma 90.00
_space_group_name_H-M_alt 'P m -3 m'
_space_group_IT_number 221
_space_group_name_Hall '-P 4 2 3'
loop_
_atom_site_label
_atom_site_fract_x
_atom_site_fract_y
_atom_site_fract_z
Ac1 0.000 0.000 0.000
In1 0.000 0.500 0.500
Fe1 0.500 0.500 0.500
# **ΔE_f**: -0.134 eV/atom
# **Crystal system**: cubic


(5)
# Ac4InFe, optimized geometry, DFT PBE-GGA
data_Ac4InFe
_cell_length_a 6.473
_cell_length_b 7.721
_cell_length_c 9.708
_cell_angle_alpha 111.46
_cell_angle_beta 108.66
_cell_angle_gamma 91.60
_space_group_name_H-M_alt 'P -1'
_space_group_IT_number 2
_space_group_name_Hall '-P 1'
loop_
_atom_site_label
_atom_site_fract_x
_atom_site_fract_y
_atom_site_fract_z
Ac1 0.004 0.248 0.024
Ac2 0.188 0.730 0.380
Ac3 0.377 0.597 0.733
Ac4 0.388 0.115 0.794
In1 0.195 0.184 0.387
Fe1 0.324 0.499 0.000
# **ΔE_f**: -0.057 eV/atom
# **Crystal system**: triclinic


(6)
# Ac8FeIr2, optimized geometry, DFT PBE-GGA
data_Ac8FeIr2
_cell_length_a 16.418
_cell_length_b 8.167
_cell_length_c 6.257
_cell_angle_alpha 90.00
_cell_angle_beta 92.60
_cell_angle_gamma 90.00
_space_group_name_H-M_alt 'C 1 2/m 1'
_space_group_IT_number 12
_space_group_name_Hall '-C 2y'
loop_
_atom_site_label
_atom_site_fract_x
_atom_site_fract_y
_atom_site_fract_z
Ac1 0.076 0.236 0.251
Ac2 0.124 0.500 0.759
Ac3 0.194 0.000 0.738
Fe1 0.000 0.000 0.500
Ir1 0.207 0.000 0.237
# **ΔE_f**: 0.003 eV/atom
# **Crystal system**: monoclinic


(7)
# Ac6FeIr, optimized geometry, DFT PBE-GGA
data_Ac6FeIr
_cell_length_a 7.1940
_cell_length_b 7.1940
_cell_length_c 13.8949
_cell_angle_alpha 90.00
_cell_angle_beta 90.00
_cell_angle_gamma 120.00
_space_group_name_H-M_alt 'P -3 1 c'
_space_group_IT_number 163
_space_group_name_Hall '-P 3 2c'
loop_
_atom_site_label
_atom_site_fract_x
_atom_site_fract_y
_atom_site_fract_z
Ac1 0.0046 0.3295 0.1213
Fe1 0.0000 0.0000 0.0000
Ir1 0.3333 0.6667 0.2500
# **ΔE_f**: -0.138 eV/atom
# **Crystal system**: trigonal


| no. | density (Mg/m³) | spin magnetization (Bohr magnetons per cell) | raw total energy (Ha/atom) |
| --- | --- | --- | --- |
| 1 | 7.778 | 0.003 | -0.1510 |
| 2 | 8.492 | 0.312 | -0.1755 |
| 3 | 7.912 | 0.003 | -0.1630 |
| 4 | 8.024 | 1.433 | -0.1577 |
| 5 | 8.489 | 1.798 | -0.1713 |
| 6 | 8.940 | 2.255 | -0.1972 |
| 7 | 8.586 | 0.000 | -0.1979 |